VASP calculation (PBE+U) on NpMn2CuO6 after structural relaxation.

Summary:
total DFT energy (no corrections)	-0.592	Ry/atom
crystal system	monoclinic

The structure in CIF format:
```
data_NpMn2CuO6
_symmetry_space_group_name_H-M 'C 1 2/m 1'
_symmetry_Int_Tables_number 12
_symmetry_space_group_name_Hall '-C 2y'
_cell_length_a 10.271
_cell_length_b 5.564
_cell_length_c 5.157
_cell_angle_alpha 90.00
_cell_angle_beta 115.42
_cell_angle_gamma 90.00
loop_
_atom_site_label
_atom_site_fract_x
_atom_site_fract_y
_atom_site_fract_z
_atom_site_occupancy
Np1 0.000 0.000 0.000 1
Mn1 0.244 0.000 0.654 1
Cu1 0.000 0.500 0.500 1
O1 0.092 0.260 0.350 1
O2 0.184 0.000 0.986 1
```